Record 1
Computed, not measured: a relaxed structure of Ni5Au at the GGA-PBE level of DFT.

- formation enthalpy at 0 K (kJ/mol of formula units) = 46

Cell: 3.6583 3.6529 5.7433 Å, 108.54 90.00 90.00°
Last column: magnetic moment on the atom in μB.
Element x y z (fractional)
Ni  0.5000  0.5000  0.0000  0.52
Ni  0.5000  0.8258  0.6516  0.62
Ni  0.0000  0.3260  0.6519  0.61
Ni  0.0000  0.6740  0.3481  0.61
Ni  0.5000  0.1742  0.3484  0.62
Au  0.0000  0.0000  0.0000  0.04



Record 2
Computed, not measured: a relaxed structure of GdDyPd2 at the GGA-PBE level of DFT.

- formation enthalpy at 0 K (kJ/mol of formula units) = -330

Cell: 4.9918 4.9918 4.9918 Å, 60.00 60.00 60.00°
Last column: magnetic moment on the atom in μB.
Element x y z (fractional)
Pd  0.2500  0.2500  0.2500  0.01
Dy  0.0000  0.0000  0.0000  0.05
Pd  0.7500  0.7500  0.7500  0.01
Gd  0.5000  0.5000  0.5000  7.02



Record 3
Computed, not measured: a relaxed structure of ReSi2Sb at the GGA-PBE level of DFT.

- uncorrected formation energy (eV per atom) = 0.64

Cell: 4.6260 4.6260 3.1693 Å, 90.00 90.00 107.03°
Element x y z (fractional)
Sb  0.0000  0.5000  0.5000
Si  0.0000  0.0000  0.0000
Re  0.5000  0.0000  0.5000
Si  0.5000  0.5000  0.0000



Record 4
Computed, not measured: a relaxed structure of CaScIr at the GGA-PBE level of DFT.

- formation enthalpy at 0 K (kJ/mol of formula units) = -90

Cell: 3.9823 3.9823 5.9514 Å, 90.00 90.00 120.00°
Element x y z (fractional)
Sc  0.3333  0.6667  0.5584
Ir  0.6667  0.3333  0.3654
Ca  0.0000  0.0000  0.0762



Record 5
Computed, not measured: a relaxed structure of NaLi6Tl3 at the GGA-PBE level of DFT.

- formation enthalpy at 0 K (kJ/mol of formula units) = -164

Cell: 4.9555 8.5157 10.4554 Å, 106.37 90.00 90.00°
Element x y z (fractional)
Na  0.2500  0.9393  0.6010
Li  0.7500  0.9384  0.0899
Na  0.7500  0.0607  0.3990
Tl  0.7500  0.4666  0.6070
Tl  0.2500  0.3474  0.8102
Tl  0.2500  0.5334  0.3930
Li  0.2500  0.8186  0.2759
Li  0.7500  0.5418  0.9044
Li  0.2500  0.4582  0.0956
Li  0.7500  0.8365  0.8051
Tl  0.7500  0.6526  0.1898
Li  0.2500  0.6302  0.7009
Li  0.7500  0.7215  0.4808
Li  0.7500  0.1814  0.7241
Li  0.2500  0.1635  0.1949
Li  0.2500  0.2785  0.5192
Tl  0.7500  0.2362  0.0156
Tl  0.2500  0.7638  0.9844
Li  0.7500  0.3698  0.2991
Li  0.2500  0.0616  0.9101



Record 6
Computed, not measured: a relaxed structure of Sc2PRh at the GGA-PBE level of DFT.

- formation enthalpy at 0 K (kJ/mol of formula units) = -188

Cell: 4.5029 4.5029 4.5029 Å, 60.00 60.00 60.00°
Element x y z (fractional)
Rh  0.2500  0.2500  0.2500
Sc  0.0000  0.0000  0.0000
P  0.5000  0.5000  0.5000
Sc  0.7500  0.7500  0.7500



Number 1: DOS(E_F) 2.00 states/eV per atom, E_tot -5.284 eV/atom, M_tot 2.870 Bohr magnetons per cell. Number 2: DOS(E_F) 0.86 states/eV per atom, E_tot -8.123 eV/atom, M_tot 7.239 Bohr magnetons per cell. Number 3: DOS(E_F) 0.56 states/eV per atom, E_tot -6.213 eV/atom, M_tot 0.000 Bohr magnetons per cell. Number 4: DOS(E_F) 0.41 states/eV per atom, E_tot -6.044 eV/atom, M_tot 0.000 Bohr magnetons per cell. Number 5: DOS(E_F) 0.30 states/eV per atom, E_tot -2.160 eV/atom, M_tot 0.000 Bohr magnetons per cell. Number 6: DOS(E_F) 1.15 states/eV per atom, E_tot -6.842 eV/atom, M_tot 0.002 Bohr magnetons per cell.